Entry from OQMD via LeMat-Bulk: crystalline CoH10Se2O10 at its relaxed geometry (PBE+U).

Cell lengths 7.3413, 7.3413, 10.0001 Å; angles 112.72, 112.72, 84.93 degrees
With the nearest neighbours (Å) after each atom.
Element x y z (fractional)
Co 0.0844 0.9156 0.7500  5 O 2.03-2.21
Co 0.9156 0.0844 0.2500  5 O 2.03-2.21
H 0.0661 0.4049 0.4724  1 O 0.98
H 0.2642 0.4539 0.9470  1 O 0.98
H 0.2828 0.2901 0.0161  1 O 1.01
H 0.2901 0.2828 0.5161  1 O 1.01
H 0.2951 0.5750 0.1589  1 O 1.04
H 0.3662 0.6328 0.6712  1 O 0.98
H 0.3672 0.6338 0.8288  1 O 0.98
H 0.4049 0.0661 0.9724  1 O 0.98
H 0.4250 0.7049 0.3411  1 O 1.04
H 0.4539 0.2642 0.4470  1 O 0.98
H 0.5461 0.7358 0.5530  1 O 0.98
H 0.5750 0.2951 0.6589  1 O 1.04
H 0.5951 0.9339 0.0276  1 O 0.98
H 0.6328 0.3662 0.1712  1 O 0.98
H 0.6338 0.3672 0.3288  1 O 0.98
H 0.7049 0.4250 0.8411  1 O 1.04
H 0.7099 0.7172 0.4839  1 O 1.01
H 0.7172 0.7099 0.9839  1 O 1.01
H 0.7358 0.5461 0.0530  1 O 0.98
H 0.9339 0.5951 0.5276  1 O 0.98
Se 0.0969 0.7147 0.3837  2 O 1.66-1.69
Se 0.2853 0.9031 0.1163  2 O 1.66-1.69
Se 0.7147 0.0969 0.8837  2 O 1.66-1.69
Se 0.9031 0.2853 0.6163  2 O 1.66-1.69
O 0.0621 0.2748 0.4770  1 H 0.98
O 0.0784 0.1757 0.7221  1 Se 1.69
O 0.1241 0.7289 0.9606  1 Se 1.66
O 0.1757 0.0784 0.2221  1 Se 1.69
O 0.2711 0.8759 0.5394  1 Se 1.66
O 0.2748 0.0621 0.9770  1 H 0.98
O 0.2936 0.7064 0.2500  2 H 1.04
O 0.3077 0.6923 0.7500  2 H 0.98
O 0.3462 0.4198 0.0369  2 H 0.98-1.01
O 0.4198 0.3462 0.5369  2 H 0.98-1.01
O 0.5802 0.6538 0.4631  2 H 0.98-1.01
O 0.6538 0.5802 0.9631  2 H 0.98-1.01
O 0.6923 0.3077 0.2500  2 H 0.98
O 0.7064 0.2936 0.7500  2 H 1.04
O 0.7252 0.9379 0.0230  1 H 0.98
O 0.7289 0.1241 0.4606  1 Se 1.66
O 0.8243 0.9216 0.7779  1 Se 1.69
O 0.8759 0.2711 0.0394  1 Se 1.66
O 0.9216 0.8243 0.2779  1 Se 1.69
O 0.9379 0.7252 0.5230  1 H 0.98

## Properties
The space group is C2/c, No. 15. For the density, the calculation gives 2.8 g cm⁻³. For the total energy, the calculation gives -4.9939 eV/atom.